No. 1
Density functional theory data (PBE) for crystalline NaRuIN2 at its relaxed geometry.

Energy above the most stable polymorph in this dataset: 0 meV per atom
ΔE_f (raw): 2.40 eV/f.u.

a = 3.918 Å, b = 3.918 Å, c = 5.886 Å
α = 90.00°, β = 90.00°, γ = 90.00°
Space group P4/mmm (No. 123)
One atom of each set of equivalent atoms:
Na 0.000 0.000 0.000 x1
Ru 0.500 0.500 0.500 x1
I 0.500 0.500 0.000 x1
N 0.000 0.500 0.500 x2

No. 2
Density functional theory data (PBE) for crystalline Ba3SnPb3 at its relaxed geometry.

Energy relative to the elements: -0.53 eV/atom

a = 12.878 Å, b = 5.386 Å, c = 16.807 Å
α = 90.00°, β = 108.13°, γ = 90.00°
Space group C2/m (No. 12)
One atom of each set of equivalent atoms:
Ba 0.019 0.000 0.379 x4
Ba 0.104 0.000 0.924 x4
Ba 0.226 0.000 0.229 x4
Sn 0.229 0.500 0.380 x4
Pb 0.008 0.500 0.226 x4
Pb 0.108 0.500 0.076 x4
Pb 0.143 0.500 0.537 x4

No. 3
Density functional theory data (PBE) for crystalline LaNd4Tm15 at its relaxed geometry.

Energy relative to the elements: 0.03 eV/atom

a = 5.017 Å, b = 5.017 Å, c = 24.940 Å
α = 90.00°, β = 90.00°, γ = 90.00°
Space group P4/mmm (No. 123)
One atom of each set of equivalent atoms:
La 0.000 0.000 0.000 x1
Nd 0.000 0.000 0.200 x2
Nd 0.000 0.000 0.400 x2
Tm 0.000 0.500 0.101 x4
Tm 0.000 0.500 0.301 x4
Tm 0.000 0.500 0.500 x2
Tm 0.500 0.500 0.000 x1
Tm 0.500 0.500 0.201 x2
Tm 0.500 0.500 0.400 x2

No. 4
Density functional theory data (PBE) for crystalline LuTaFe2 at its relaxed geometry.

Energy relative to the elements: -0.03 eV/atom

a = 4.446 Å, b = 4.446 Å, c = 3.099 Å
α = 90.00°, β = 90.00°, γ = 90.00°
Space group P4/mmm (No. 123)
One atom of each set of equivalent atoms:
Lu 0.000 0.000 0.000 x1
Ta 0.500 0.500 0.000 x1
Fe 0.000 0.500 0.500 x2

| no. | VASP energy (eV/atom) |
| --- | --- |
| 1 | -5.280 |
| 2 | -3.517 |
| 3 | -4.524 |
| 4 | -8.357 |